Entry 1:
Below is a relaxed structure of Cs2In4SnHg3, with properties calculated at the PBE-GGA level.

Unit cell a=5.2305 b=5.2305 c=12.4177 alpha=90.00 beta=90.00 gamma=90.00
Closest atoms and distances in Å follow each position.
Space group P-4m2 (No. 115)
One atom of each set of equivalent atoms:
Cs: 0.0000 0.5000 0.2491 [2 per cell]  6 Hg 4.00-4.05, 8 In 4.00-4.07, 2 Sn 4.05
In: 0.0000 0.0000 0.5000 [1 per cell]  4 Hg 3.07
In: 0.0000 0.5000 0.8733 [2 per cell]  3 Hg 3.04-3.05, 2 Sn 3.05
In: 0.5000 0.5000 0.5000 [1 per cell]  4 Hg 3.07
Sn: 0.5000 0.5000 0.0000 [1 per cell]  4 In 3.05
Hg: 0.0000 0.0000 0.0000 [1 per cell]  4 In 3.05
Hg: 0.0000 0.5000 0.6287 [2 per cell]  5 In 3.04-3.07

Calculated values
Formation energy from the elements in eV per atom: -0.14
DFT total energy in eV/atom: -1.89

Entry 2:
Below is a relaxed structure of CsIn2SnHg, with properties calculated at the PBE-GGA level.

Unit cell a=8.8799 b=4.7840 c=9.2796 alpha=90.00 beta=107.56 gamma=90.00
Closest atoms and distances in Å follow each position.
Space group P2_1/m (No. 11)
One atom of each set of equivalent atoms:
Cs: 0.2360 0.2500 0.3888 [2 per cell]  3 Hg 3.84-4.28, 3 Sn 3.98-4.26, 3 In 4.19-4.21
In: 0.1619 0.2500 0.8134 [2 per cell]  3 Hg 3.02-3.38, 2 Sn 3.06, 1 In 3.37
In: 0.4410 0.7500 0.1041 [2 per cell]  1 Hg 2.86, 3 Sn 3.10-3.15
Sn: 0.3471 0.7500 0.7483 [2 per cell]  5 In 3.06-3.15
Hg: 0.1069 0.7500 0.0497 [2 per cell]  2 In 2.86-3.02, 2 Hg 3.02

Calculated values
Formation energy from the elements in eV per atom: -0.11
DFT total energy in eV/atom: -2.24

Entry 3:
Below is a relaxed structure of CsIn4Sn2Hg, with properties calculated at the PBE-GGA level.

Unit cell a=5.3539 b=5.3539 c=32.3395 alpha=90.00 beta=90.00 gamma=120.00
Closest atoms and distances in Å follow each position.
Space group R-3m (No. 166, hexagonal axes)
One atom of each set of equivalent atoms:
Cs: 0.0000 0.0000 0.0000 [3 per cell]  8 In 3.93-4.34
In: 0.0000 0.0000 0.1343 [6 per cell]  4 Sn 3.18-3.28, 3 Hg 3.26
In: 0.0000 0.0000 0.4083 [6 per cell]  1 Hg 2.96, 3 Sn 3.20
Sn: 0.0000 0.0000 0.2327 [6 per cell]  7 In 3.18-3.28
Hg: 0.0000 0.0000 0.5000 [3 per cell]  8 In 2.96-3.26

Calculated values
Formation energy from the elements in eV per atom: -0.04
DFT total energy in eV/atom: -2.56

Entry 4:
Below is a relaxed structure of CsIn4SnHg2, with properties calculated at the PBE-GGA level.

Unit cell a=5.2575 b=5.2575 c=33.3036 alpha=90.00 beta=90.00 gamma=120.00
Closest atoms and distances in Å follow each position.
Space group R-3m (No. 166, hexagonal axes)
One atom of each set of equivalent atoms:
Cs: 0.0000 0.0000 0.0000 [3 per cell]  6 In 3.98, 6 Hg 4.22
In: 0.0000 0.0000 0.1344 [6 per cell]  3 Sn 3.22, 3 Hg 3.40, 3 In 3.58
In: 0.0000 0.0000 0.4105 [6 per cell]  1 Sn 2.98, 3 Hg 3.06
Sn: 0.0000 0.0000 0.5000 [3 per cell]  8 In 2.98-3.22
Hg: 0.0000 0.0000 0.2453 [6 per cell]  6 In 3.06-3.40

Calculated values
Formation energy from the elements in eV per atom: -0.08
DFT total energy in eV/atom: -2.14

Entry 5:
Below is a relaxed structure of CsSr2InHg, with properties calculated at the PBE-GGA level.

Unit cell a=6.4779 b=6.4779 c=7.6138 alpha=90.00 beta=90.00 gamma=90.00
Closest atoms and distances in Å follow each position.
Space group P4/mmm (No. 123)
One atom of each set of equivalent atoms:
Cs: 0.0000 0.0000 0.0000 [1 per cell]  2 In 3.81
Sr: 0.0000 0.5000 0.5000 [2 per cell]  2 In 3.24
In: 0.0000 0.0000 0.5000 [1 per cell]  4 Sr 3.24
Hg: 0.5000 0.5000 0.0000 [1 per cell]  4 Cs 4.58, 8 Sr 5.00

Calculated values
Formation energy from the elements in eV per atom: 0.07
DFT total energy in eV/atom: -1.38

Entry 6:
Below is a relaxed structure of CsIn2TcHg, with properties calculated at the PBE-GGA level.

Unit cell a=6.4724 b=6.4724 c=6.2995 alpha=90.00 beta=90.00 gamma=90.00
Closest atoms and distances in Å follow each position.
Space group P4/mmm (No. 123)
One atom of each set of equivalent atoms:
Cs: 0.0000 0.0000 0.0000 [1 per cell]  2 Hg 3.15, 4 In 3.24
In: 0.0000 0.5000 0.0000 [2 per cell]  2 Cs 3.24
Tc: 0.5000 0.5000 0.5000 [1 per cell]  8 In 4.52, 4 Hg 4.58
Hg: 0.0000 0.0000 0.5000 [1 per cell]  2 Cs 3.15

Calculated values
Formation energy from the elements in eV per atom: 1.79
DFT total energy in eV/atom: -1.61

Entry 7:
Below is a relaxed structure of CsInHg2Te, with properties calculated at the PBE-GGA level.

Unit cell a=5.3963 b=5.6856 c=11.9175 alpha=90.00 beta=90.00 gamma=90.00
Closest atoms and distances in Å follow each position.
Space group Imm2 (No. 44)
One atom of each set of equivalent atoms:
Cs: 0.0000 0.0000 0.0000 [2 per cell]  4 In 4.02-4.12, 9 Hg 4.03-4.34, 4 Te 4.10
In: 0.0000 0.5000 0.7495 [2 per cell]  2 Hg 3.05, 2 Te 3.24
Hg: 0.0000 0.0000 0.6563 [2 per cell]  2 Hg 2.87, 2 In 3.05, 1 Te 3.06
Hg: 0.0000 0.5000 0.2394 [2 per cell]  2 Hg 2.87
Te: 0.0000 0.0000 0.3995 [2 per cell]  3 Hg 3.06-3.42, 2 In 3.24

Calculated values
DFT total energy in eV/atom: -1.82
Formation energy from raw total energies in meV per atom: -353
Distance to the lowest polymorph of the same formula in meV per atom: 0.0

Entry 8:
Below is a relaxed structure of Cs2InHg2Te4, with properties calculated at the PBE-GGA level.

Unit cell a=17.4816 b=4.8979 c=8.6677 alpha=90.00 beta=108.45 gamma=90.00
Closest atoms and distances in Å follow each position.
Space group C2/m (No. 12)
One atom of each set of equivalent atoms:
Cs: 0.1316 0.0000 0.0754 [4 per cell]  7 Te 3.95-4.04, 3 Hg 4.12-4.36, 1 Cs 4.37
In: 0.0000 0.0000 0.5000 [2 per cell]  6 Te 3.17-3.29
Hg: 0.1656 0.5000 0.4742 [4 per cell]  4 Te 2.84-3.04
Te: 0.0025 0.5000 0.2693 [4 per cell]  1 Hg 2.84, 2 In 3.17
Te: 0.1970 0.0000 0.6709 [4 per cell]  3 Hg 2.93-3.04

Calculated values
DFT total energy in eV/atom: -2.47
Formation energy from raw total energies in meV per atom: -508

Entry 9:
Below is a relaxed structure of CsInHg2Te4, with properties calculated at the PBE-GGA level.

Unit cell a=7.3888 b=9.3256 c=10.0016 alpha=90.00 beta=90.00 gamma=90.00
Closest atoms and distances in Å follow each position.
Space group I222 (No. 23)
One atom of each set of equivalent atoms:
Cs: 0.0000 0.0000 0.0000 [2 per cell]  8 Te 4.01-4.07
In: 0.0000 0.0000 0.5000 [2 per cell]  4 Te 2.85
Hg: 0.0000 0.5000 0.1709 [4 per cell]  2 Te 2.69
Te: 0.2158 0.1799 0.3344 [8 per cell]  1 Hg 2.69, 1 In 2.85

Calculated values
DFT total energy in eV/atom: -2.53
Formation energy from raw total energies in meV per atom: -435

Entry 10:
Below is a relaxed structure of CsInHgTe2, with properties calculated at the PBE-GGA level.

Unit cell a=5.8753 b=5.8753 c=5.9552 alpha=90.00 beta=90.00 gamma=90.00
Closest atoms and distances in Å follow each position.
Space group P4/mmm (No. 123)
One atom of each set of equivalent atoms:
Cs: 0.0000 0.0000 0.0000 [1 per cell]  4 Hg 4.15, 8 Te 4.18
In: 0.5000 0.5000 0.5000 [1 per cell]  4 Te 2.94, 2 Hg 2.98
Hg: 0.5000 0.5000 0.0000 [1 per cell]  2 In 2.98
Te: 0.0000 0.5000 0.5000 [2 per cell]  2 In 2.94

Calculated values
DFT total energy in eV/atom: -2.40
Formation energy from raw total energies in meV per atom: -367

Entry 11:
Below is a relaxed structure of CsInHg2Te, with properties calculated at the PBE-GGA level.

Unit cell a=5.8167 b=5.8167 c=6.1088 alpha=90.00 beta=90.00 gamma=90.00
Closest atoms and distances in Å follow each position.
Space group P4/mmm (No. 123)
One atom of each set of equivalent atoms:
Cs: 0.0000 0.0000 0.0000 [1 per cell]  4 Te 4.11, 8 Hg 4.22
In: 0.5000 0.5000 0.5000 [1 per cell]  4 Hg 2.91, 2 Te 3.05
Hg: 0.0000 0.5000 0.5000 [2 per cell]  2 In 2.91
Te: 0.5000 0.5000 0.0000 [1 per cell]  2 In 3.05

Calculated values
DFT total energy in eV/atom: -1.80
Formation energy from raw total energies in meV per atom: -335
Distance to the lowest polymorph of the same formula in meV per atom: 17.6

Entry 12:
Below is a relaxed structure of Cs2Tl3In4Hg, with properties calculated at the PBE-GGA level.

Unit cell a=5.2940 b=5.2940 c=12.7424 alpha=90.00 beta=90.00 gamma=90.00
Closest atoms and distances in Å follow each position.
Space group P-4m2 (No. 115)
One atom of each set of equivalent atoms:
Cs: 0.0000 0.5000 0.2475 [2 per cell]  6 Tl 4.04-4.12, 8 In 4.07-4.17, 2 Hg 4.12
Tl: 0.0000 0.0000 0.0000 [1 per cell]  4 In 3.07
Tl: 0.0000 0.5000 0.6332 [2 per cell]  5 In 3.12-3.14
In: 0.0000 0.0000 0.5000 [1 per cell]  4 Tl 3.14
In: 0.0000 0.5000 0.8778 [2 per cell]  2 Hg 3.07, 3 Tl 3.07-3.12
In: 0.5000 0.5000 0.5000 [1 per cell]  4 Tl 3.14
Hg: 0.5000 0.5000 0.0000 [1 per cell]  4 In 3.07

Calculated values
Formation energy from the elements in eV per atom: -0.09
DFT total energy in eV/atom: -2.10